5
Lattice="-0.926 0.007 -4.431 1.975 -4.052 -0.419 -2.972 -3.802 -1.697" Properties=species:S:1:pos:R:3 comment="LiCr2As2 | Alexandria via LeMat-Bulk | PBE | optimized geometry" e_tot_ev_per_atom=-6.100 sg=I4/mmm formation_enthalpy_0k_mev_per_atom=-8.3 rho_g_cm3=5.3 volume_a3_per_cell=81.8 polymorph_energy_mev_per_atom=146 pbc="T T T"
Li 0.000 0.000 0.000
Cr -0.293 -2.439 -2.255
Cr -1.630 -5.409 -4.292
As -1.687 -2.909 -4.277
As -0.236 -4.939 -2.270

***

6
Lattice="-1.923 -5.211 -0.051 -5.388 -0.963 -0.945 -1.609 -2.320 -4.784" Properties=species:S:1:pos:R:3 comment="LiCrAs4 | Alexandria via LeMat-Bulk | PBE | optimized geometry" e_tot_ev_per_atom=-4.741 sg=F-43m formation_enthalpy_0k_mev_per_atom=281.7 rho_g_cm3=4.9 volume_a3_per_cell=121.2 pbc="T T T"
As -4.306 -5.791 -2.193
As -4.149 -4.345 -4.560
As -6.040 -3.667 -2.640
As -3.345 -3.185 -2.167
Li 0.000 0.000 0.000
Cr -6.690 -6.371 -4.335

***

4
Lattice="-0.492 3.342 -4.024 2.466 -0.960 -4.539 -3.077 -2.526 3.429" Properties=species:S:1:pos:R:3 comment="LiCrAs2 | Alexandria via LeMat-Bulk | PBE | optimized geometry" e_tot_ev_per_atom=-5.320 sg=I-4m2 formation_enthalpy_0k_mev_per_atom=-111.3 rho_g_cm3=5.5 volume_a3_per_cell=62.7 polymorph_energy_mev_per_atom=155 pbc="T T T"
Cr 0.987 1.191 -4.282
Li -1.291 1.004 -2.439
As 0.188 -1.148 -2.696
As 0.000 0.000 0.000

***

Number 1: magnetization 0.00 μB per formula unit. Number 2: magnetization 4.98 μB per formula unit. Number 3: magnetization 3.01 μB per formula unit.